[1]
Compound: BaHgIr2
Source: Alexandria
Functional: GGA-PBE
Structure: relaxed

Cell: 9.9944 9.9944 9.9944 Å, 17.99 17.99 17.99°
Atoms (fractional coordinates):
Ba 0.0000 0.0000 0.0000
Hg 0.5000 0.5000 0.5000
Ir 0.2412 0.2412 0.2412
Ir 0.7588 0.7588 0.7588



[2]
Compound: NaHoSn6
Source: Alexandria
Functional: GGA-PBE
Structure: relaxed

Cell: 4.6841 4.6841 9.5595 Å, 90.00 90.00 90.00°
Atoms (fractional coordinates):
Na 0.0000 0.0000 0.0000
Ho 0.0000 0.0000 0.5000
Sn 0.0000 0.5000 0.2492
Sn 0.0000 0.5000 0.7508
Sn 0.5000 0.0000 0.2492
Sn 0.5000 0.0000 0.7508
Sn 0.5000 0.5000 0.0000
Sn 0.5000 0.5000 0.5000



[3]
Compound: AcYSnPd
Source: Alexandria
Functional: GGA-PBE
Structure: relaxed

Cell: 5.4164 5.4164 5.4164 Å, 60.00 60.00 60.00°
Atoms (fractional coordinates):
Ac 0.0000 0.0000 0.0000
Y 0.5000 0.5000 0.5000
Sn 0.7500 0.7500 0.7500
Pd 0.2500 0.2500 0.2500



Number 1: ΔH_f (0 K) 854 meV per atom, calculated total energy -0.1519 hartree per atom, mass density 14.43 g/cm³. Number 2: ΔH_f (0 K) -262 meV per atom, calculated total energy -0.1471 hartree per atom, mass density 7.13 g/cm³. Number 3: ΔH_f (0 K) -642 meV per atom, calculated total energy -0.2052 hartree per atom, mass density 8.00 g/cm³.